Entry from the Alexandria database: crystalline Na2LaMgF8 at its relaxed geometry (PBE).

```
Na2LaMgF8
1.0
4.259 0.047 0.003
0.101 5.499 0.015
0.013 0.036 7.179
F Na Mg La
8 2 1 1
direct
0.588 0.827 0.997
0.934 0.236 0.217
0.065 0.765 0.220
0.935 0.235 0.780
0.534 0.760 0.501
0.466 0.240 0.499
0.066 0.764 0.783
0.412 0.173 0.003
0.498 0.497 0.756
0.502 0.503 0.244
0.000 0.000 0.000
0.000 0.000 0.500
```

Values from the calculation:
Symmetry: P-1
Energy relative to the elements, uncorrected, kJ/mol of formula units: -3629

Entry from the Alexandria database: crystalline Ba4H6Se at its relaxed geometry (PBE).

```
Ba4H6Se
1.0
-2.672 -2.816 -1.337
0.500 3.110 -7.550
5.111 -5.952 2.318
Ba H Se
4 6 1
direct
0.500 0.827 0.655
0.500 0.827 0.173
0.000 0.333 0.667
0.500 0.345 0.173
0.500 0.592 0.796
0.000 0.541 0.082
0.500 0.204 0.796
0.500 0.204 0.408
0.000 0.918 0.459
0.000 0.541 0.459
0.000 0.000 0.000
```

Values from the calculation:
Symmetry: P-6m2

| no. | calculated total energy (eV/atom) |
| --- | --- |
| 1 | -5.1451 |
| 2 | -3.5654 |